# PBE RbBa2Br, optimized geometry
# - distance to the lowest polymorph of the same formula (meV/atom) = 67.4
# - theoretical density (g/cm3) = 2.9
# - ΔE_f (raw) (kJ/mol of formula units) = -223.5
data_RbBa2Br
_chemical_formula_sum 'Rb4 Ba8 Br4'
_space_group_name_H-M_alt 'I -4 2 d'
_space_group_IT_number 122
_space_group_name_Hall 'I -4 2bw'
_cell_length_a 11.017
_cell_length_b 11.017
_cell_length_c 8.218
_cell_angle_alpha 90.00
_cell_angle_beta 90.00
_cell_angle_gamma 90.00
loop_
_atom_site_label
_atom_site_type_symbol
_atom_site_fract_x
_atom_site_fract_y
_atom_site_fract_z
Rb1 Rb 0.000 0.000 0.000
Ba1 Ba 0.141 0.250 0.625
Br1 Br 0.000 0.000 0.500

# PBE Rb4BaBr6, optimized geometry
# - theoretical density (g/cm3) = 3.4
# - ΔE_f (raw) (kJ/mol of formula units) = -1949.3
data_Rb4BaBr6
_chemical_formula_sum 'Rb24 Ba6 Br36'
_space_group_name_H-M_alt 'R -3 c'
_space_group_IT_number 167
_space_group_name_Hall '-R 3 2"c'
_cell_length_a 13.8667
_cell_length_b 13.8667
_cell_length_c 17.0517
_cell_angle_alpha 90.00
_cell_angle_beta 90.00
_cell_angle_gamma 120.00
loop_
_atom_site_label
_atom_site_type_symbol
_atom_site_fract_x
_atom_site_fract_y
_atom_site_fract_z
Rb1 Rb 0.0000 0.0000 0.2500
Rb2 Rb 0.0000 0.3719 0.2500
Ba1 Ba 0.0000 0.0000 0.0000
Br1 Br 0.0309 0.1993 0.3899

# PBE Rb2BaBr2, optimized geometry
# - distance to the lowest polymorph of the same formula (meV/atom) = 220.6
# - theoretical density (g/cm3) = 2.6
# - ΔE_f (raw) (kJ/mol of formula units) = -474.0
data_Rb2BaBr2
_chemical_formula_sum 'Rb4 Ba2 Br4'
_space_group_name_H-M_alt 'I 4/m m m'
_space_group_IT_number 139
_space_group_name_Hall '-I 4 2'
_cell_length_a 5.960
_cell_length_b 5.960
_cell_length_c 16.520
_cell_angle_alpha 90.00
_cell_angle_beta 90.00
_cell_angle_gamma 90.00
loop_
_atom_site_label
_atom_site_type_symbol
_atom_site_fract_x
_atom_site_fract_y
_atom_site_fract_z
Rb1 Rb 0.000 0.500 0.250
Ba1 Ba 0.000 0.000 0.000
Br1 Br 0.000 0.000 0.349

# PBE Rb2BaBr4, optimized geometry
# - distance to the lowest polymorph of the same formula (meV/atom) = 0.0
# - theoretical density (g/cm3) = 3.9
# - ΔE_f (raw) (kJ/mol of formula units) = -1303.6
data_Rb2BaBr4
_chemical_formula_sum 'Rb8 Ba4 Br16'
_space_group_name_H-M_alt 'I -4 2 d'
_space_group_IT_number 122
_space_group_name_Hall 'I -4 2bw'
_cell_length_a 10.139
_cell_length_b 10.139
_cell_length_c 10.290
_cell_angle_alpha 90.00
_cell_angle_beta 90.00
_cell_angle_gamma 90.00
loop_
_atom_site_label
_atom_site_type_symbol
_atom_site_fract_x
_atom_site_fract_y
_atom_site_fract_z
Rb1 Rb 0.114 0.250 0.125
Ba1 Ba 0.000 0.000 0.500
Br1 Br 0.067 0.182 0.791

Which of these has the highest ΔE_f (raw)? RbBa2Br